Here is an optimized crystal structure of CaHf2NF from the Alexandria database. Energies are from PBE.

Computed properties:
space group	No. 123

abc: 4.1675 6.6040 4.1675
angles: 90.00 90.00 90.00
Element x y z (fractional)
Hf 0.0000 0.0000 0.5000
Hf 0.5000 0.0000 0.0000
F 0.0000 0.5000 0.0000
N 0.0000 0.0000 0.0000
Ca 0.5000 0.5000 0.5000

=====

Here is an optimized crystal structure of CaHfNF2 from the Alexandria database. Energies are from PBE.

Computed properties:
energy above the lowest structure with this stoichiometry	0	meV/atom
space group	No. 123

abc: 4.2561 4.2561 4.2234
angles: 90.00 90.00 90.00
Element x y z (fractional)
F 0.5000 0.0000 0.0000
F 0.0000 0.5000 0.0000
N 0.0000 0.0000 0.5000
Hf 0.0000 0.0000 0.0000
Ca 0.5000 0.5000 0.5000

=====

Here is an optimized crystal structure of CaHfN2F from the Alexandria database. Energies are from PBE.

Computed properties:
energy above the lowest structure with this stoichiometry	1567	meV/atom
space group	No. 123

abc: 4.2955 4.2955 3.9051
angles: 90.00 90.00 90.00
Each line ends with the local moment (μB).
Element x y z (fractional)
Hf 0.5000 0.5000 0.5000  -0.10
N 0.5000 0.0000 0.0000  0.33
N 0.0000 0.5000 0.0000  0.33
F 0.0000 0.0000 0.5000  0.01
Ca 0.0000 0.0000 0.0000  0.07

=====

Here is an optimized crystal structure of CaHfN2F from the Alexandria database. Energies are from PBE.

Computed properties:
energy above the lowest structure with this stoichiometry	0	meV/atom
space group	No. 123

abc: 4.2011 4.2011 4.1271
angles: 90.00 90.00 90.00
Element x y z (fractional)
N 0.5000 0.0000 0.0000
N 0.0000 0.5000 0.0000
Ca 0.5000 0.5000 0.5000
F 0.0000 0.0000 0.5000
Hf 0.0000 0.0000 0.0000

=====

Here is an optimized crystal structure of CaHfNF2 from the Alexandria database. Energies are from PBE.

Computed properties:
energy above the lowest structure with this stoichiometry	859	meV/atom
space group	No. 123

abc: 3.9685 3.9685 5.1978
angles: 90.00 90.00 90.00
Each line ends with the local moment (μB).
Element x y z (fractional)
Hf 0.5000 0.5000 0.5000  0.52
Ca 0.0000 0.0000 0.0000  0.00
N 0.0000 0.0000 0.5000  -0.03
F 0.5000 0.0000 0.0000  0.01
F 0.0000 0.5000 0.0000  0.01

=====

Here is an optimized crystal structure of Na2CaHfF from the Alexandria database. Energies are from PBE.

Computed properties:
space group	No. 123

abc: 6.3460 5.9461 6.3460
angles: 90.00 90.00 90.00
Each line ends with the local moment (μB).
Element x y z (fractional)
Ca 0.0000 0.0000 0.0000  0.19
Na 0.5000 0.0000 0.0000  0.00
Na 0.0000 0.0000 0.5000  0.02
F 0.5000 0.5000 0.5000  0.00
Hf 0.0000 0.5000 0.0000  1.20

=====

| no. | energy (eV/cell) | spin magnetization (Bohr magnetons per cell) | ρ (g cm⁻³) |
| --- | --- | --- | --- |
| 1 | -36.50 | 0.0 | 6.2 |
| 2 | -34.66 | 0.0 | 5.9 |
| 3 | -30.63 | 0.8 | 6.1 |
| 4 | -38.46 | 0.0 | 6.1 |
| 5 | -30.37 | 0.8 | 5.5 |
| 6 | -11.72 | 2.7 | 2.0 |